VASP calculation (PBE-GGA) on a geometry-optimized ZrTi2V2 structure.

Output
**V**: 17.21 Å³ per atom
**Energy of formation**: 0.200 eV per atom
**Total magnetization**: 0.000 μB per atom
**ρ**: 5.57 g/cm³
**Final energy**: -8.315 eV/atom
**Energy above the lowest structure with this stoichiometry**: 0.000 eV/atom

Cell: 7.3734 7.3734 3.1653 Å, 90.00 90.00 90.00°
Space group P4/mbm (No. 127)
One atom of each set of equivalent atoms:
Zr 0.0000 0.0000 0.0000 (multiplicity 2)
Ti 0.1422 0.3578 0.5000 (multiplicity 4)
V 0.1441 0.6441 0.0000 (multiplicity 4)